# AcVO2 GGA+U relaxed
# **ρ**: 7.5 Mg/m³
# **E**: -7.032 eV per atom
# **Volume**: 207 Å³ per cell
data_AcVO2
_chemical_formula_sum 'Ac3 V3 O6'
_cell_length_a 3.4820
_cell_length_b 3.4820
_cell_length_c 19.6869
_cell_angle_alpha 90.00
_cell_angle_beta 90.00
_cell_angle_gamma 120.00
_space_group_name_H-M_alt 'R -3 m'
_space_group_IT_number 166
_space_group_name_Hall '-R 3 2"'
loop_
_atom_site_label
_atom_site_type_symbol
_atom_site_fract_x
_atom_site_fract_y
_atom_site_fract_z
_atom_site_occupancy
Ac1 Ac 0.0000 0.0000 0.0000 1
V1 V 0.0000 0.0000 0.5000 1
O1 O 0.0000 0.0000 0.1190 1